[1]
# PBE SmErNiPt, relaxed
# uncorrected energy: -6.11 eV/atom
# calculated volume: 174 Å³ per cell
# theoretical density: 10.9 g/cm³
# calculated formation energy: -0.838 eV per atom
data_SmErNiPt
_symmetry_space_group_name_H-M 'A m m 2'
_symmetry_Int_Tables_number 38
_cell_length_a 4.390
_cell_length_b 3.854
_cell_length_c 10.256
_cell_angle_alpha 90.00
_cell_angle_beta 90.00
_cell_angle_gamma 90.00
loop_
_symmetry_equiv_pos_as_xyz
'x,y,z'
'-x,-y,z'
'-x,y,z'
'x,-y,z'
'x,y+1/2,z+1/2'
'-x,-y+1/2,z+1/2'
'-x,y+1/2,z+1/2'
'x,-y+1/2,z+1/2'
loop_
_atom_site_label
_atom_site_fract_x
_atom_site_fract_y
_atom_site_fract_z
Sm1 0.000 0.000 0.000
Er1 0.500 0.000 0.719
Ni1 0.000 0.000 0.277
Pt1 0.500 0.000 0.433

=====

[2]
# PBE ThGePb2, relaxed
# uncorrected energy: -5.12 eV/atom
# calculated volume: 107 Å³ per cell
# theoretical density: 11.1 g/cm³
# calculated formation energy: -0.259 eV per atom
data_ThGePb2
_symmetry_space_group_name_H-M 'P 4/m m m'
_symmetry_Int_Tables_number 123
_symmetry_space_group_name_Hall '-P 4 2'
_cell_length_a 4.625
_cell_length_b 4.625
_cell_length_c 5.021
_cell_angle_alpha 90.00
_cell_angle_beta 90.00
_cell_angle_gamma 90.00
loop_
_atom_site_label
_atom_site_fract_x
_atom_site_fract_y
_atom_site_fract_z
Th1 0.000 0.000 0.000
Ge1 0.500 0.500 0.000
Pb1 0.000 0.500 0.500

=====

[3]
# PBE Co3Sb2, relaxed
# uncorrected energy: -5.83 eV/atom
# formation energy without anion corrections: 0.084 eV per atom
# calculated volume: 239 Å³ per cell
# theoretical density: 8.8 g/cm³
data_Co3Sb2
_symmetry_space_group_name_H-M 'R -3 m'
_symmetry_Int_Tables_number 166
_symmetry_space_group_name_Hall '-R 3 2"'
_cell_length_a 3.9150
_cell_length_b 3.9150
_cell_length_c 17.9858
_cell_angle_alpha 90.00
_cell_angle_beta 90.00
_cell_angle_gamma 120.00
loop_
_atom_site_label
_atom_site_fract_x
_atom_site_fract_y
_atom_site_fract_z
Co1 0.0000 0.0000 0.0000
Co2 0.0000 0.0000 0.1443
Sb1 0.0000 0.0000 0.4065

=====

[4]
# PBE Na3InPb4, relaxed
# uncorrected energy: -2.76 eV/atom
# calculated volume: 503 Å³ per cell
# theoretical density: 6.7 g/cm³
# calculated formation energy: -0.070 eV per atom
data_Na3InPb4
_symmetry_space_group_name_H-M 'I m m 2'
_symmetry_Int_Tables_number 44
_cell_length_a 6.809
_cell_length_b 9.764
_cell_length_c 7.565
_cell_angle_alpha 90.00
_cell_angle_beta 90.00
_cell_angle_gamma 90.00
loop_
_symmetry_equiv_pos_as_xyz
'x,y,z'
'-x,-y,z'
'-x,y,z'
'x,-y,z'
'x+1/2,y+1/2,z+1/2'
'-x+1/2,-y+1/2,z+1/2'
'-x+1/2,y+1/2,z+1/2'
'x+1/2,-y+1/2,z+1/2'
loop_
_atom_site_label
_atom_site_fract_x
_atom_site_fract_y
_atom_site_fract_z
Na1 0.000 0.000 0.000
Na2 0.000 0.300 0.793
In1 0.000 0.500 0.456
Pb1 0.000 0.204 0.339
Pb2 0.248 0.000 0.600

=====

- Which value of theoretical density does entry 2 give?
  11.1 g/cm³

=====

- Number 3 is which compound?
  Co3Sb2

=====

- uncorrected energy of number 2 (ThGePb2)?
  -5.12 eV/atom